Here is crystalline KPb6Au6 at its relaxed geometry from Alexandria. Energies are from PBE. Values from VASP.

The structure in Quantum ESPRESSO input format:
```
&SYSTEM
  ibrav = 0, nat = 13, ntyp = 3
/
ATOMIC_SPECIES
K 39.10 K.upf
Pb 207.20 Pb.upf
Au 196.97 Au.upf
CELL_PARAMETERS angstrom
-2.9573 5.1149 5.4198
2.9573 -5.1149 5.4198
2.9573 5.1149 -5.4198
ATOMIC_POSITIONS crystal
K 0.0000 0.0000 0.0000
Pb 0.1857 0.5000 0.6857
Pb 0.3438 0.3438 0.0000
Pb 0.3461 0.0000 0.3461
Pb 0.6539 0.0000 0.6539
Pb 0.6562 0.6562 0.0000
Pb 0.8143 0.5000 0.3143
Au 0.0000 0.0000 0.5000
Au 0.0000 0.5000 0.0000
Au 0.2257 0.7257 0.5000
Au 0.5000 0.0000 0.0000
Au 0.5000 0.5000 0.5000
Au 0.7743 0.2743 0.5000
```

Summary:
The calculation puts the total magnetization at 0.000 μB per cell. For the mass density, the calculation gives 12.48 g cm⁻³. As for the crystal system: orthorhombic. The final energy comes out at -44.186 eV/f.u.